1.
A plane-wave DFT calculation with PBE was carried out for an optimized crystal structure of Pr2BeGeRh6.

Unit cell a=6.310 b=6.310 c=6.310 alpha=120.06 beta=119.92 gamma=90.02
Element x y z (fractional)
Pr1 0.250 0.250 0.000
Pr2 0.750 0.750 0.000
Be1 0.500 0.000 0.500
Ge1 0.000 0.500 0.500
Rh1 0.263 0.237 0.500
Rh2 0.263 0.763 0.025
Rh3 0.263 0.763 0.500
Rh4 0.737 0.237 0.500
Rh5 0.737 0.237 0.975
Rh6 0.737 0.763 0.500

Summary:
ρ in kg/m³: 9169
Total energy in eV/atom: -6.68
Formation energy in eV/atom: -0.477

***

2.
A plane-wave DFT calculation with PBE was carried out for an optimized crystal structure of PrBeGe2Ru2.

Unit cell a=4.286 b=4.286 c=5.535 alpha=90.00 beta=90.00 gamma=90.00
Element x y z (fractional)
Pr1 0.000 0.000 0.000
Be1 0.000 0.000 0.500
Ge1 0.500 0.500 0.237
Ge2 0.500 0.500 0.763
Ru1 0.000 0.500 0.500
Ru2 0.500 0.000 0.500

Summary:
ρ in kg/m³: 8123
Total energy in eV/atom: -6.54
Formation energy in eV/atom: -0.489

***

3.
A plane-wave DFT calculation with PBE was carried out for an optimized crystal structure of Pr2Be3ZnGe4.

Unit cell a=4.216 b=4.216 c=9.791 alpha=90.00 beta=90.00 gamma=90.00
Element x y z (fractional)
Pr1 0.000 0.500 0.242
Pr2 0.500 0.000 0.758
Be1 0.000 0.500 0.880
Be2 0.500 0.000 0.120
Be3 0.500 0.500 0.500
Zn1 0.000 0.000 0.500
Ge1 0.000 0.000 0.000
Ge2 0.000 0.500 0.642
Ge3 0.500 0.000 0.358
Ge4 0.500 0.500 0.000

Summary:
ρ in kg/m³: 6344
Total energy in eV/atom: -4.40
Formation energy in eV/atom: -0.351

***

4.
A plane-wave DFT calculation with PBE was carried out for an optimized crystal structure of BeGe3Pt.

Unit cell a=4.876 b=4.876 c=4.876 alpha=90.00 beta=90.00 gamma=90.00
Element x y z (fractional)
Be1 0.000 0.000 0.000
Ge1 0.000 0.500 0.500
Ge2 0.500 0.000 0.500
Ge3 0.500 0.500 0.000
Pt1 0.500 0.500 0.500

Summary:
ρ in kg/m³: 6046
Total energy in eV/atom: -3.96
Formation energy in eV/atom: 0.759

***

5.
A plane-wave DFT calculation with PBE was carried out for an optimized crystal structure of Be2GePt.

Unit cell a=5.278 b=5.278 c=5.278 alpha=105.85 beta=105.85 gamma=116.98
Element x y z (fractional)
Be1 0.106 0.625 0.981
Be2 0.375 0.356 0.481
Be3 0.644 0.125 0.019
Be4 0.875 0.894 0.519
Ge1 0.250 0.750 0.500
Ge2 0.500 0.500 0.000
Pt1 0.000 0.000 0.000
Pt2 0.750 0.250 0.500

Summary:
ρ in kg/m³: 8494
Total energy in eV/atom: -4.34
Formation energy in eV/atom: 0.192

***

6.
A plane-wave DFT calculation with PBE was carried out for an optimized crystal structure of BeGe3Pt.

Unit cell a=4.408 b=4.408 c=4.408 alpha=90.00 beta=90.00 gamma=90.00
Element x y z (fractional)
Be1 0.000 0.000 0.000
Ge1 0.000 0.000 0.500
Ge2 0.000 0.500 0.000
Ge3 0.500 0.000 0.000
Pt1 0.500 0.500 0.500

Summary:
ρ in kg/m³: 8181
Total energy in eV/atom: -4.28
Formation energy in eV/atom: 0.447

***

7.
A plane-wave DFT calculation with PBE was carried out for an optimized crystal structure of BeGePt2.

Unit cell a=6.950 b=6.950 c=6.950 alpha=138.42 beta=138.42 gamma=60.26
Element x y z (fractional)
Be1 0.000 0.000 0.000
Be2 0.750 0.250 0.500
Ge1 0.250 0.750 0.500
Ge2 0.500 0.500 0.000
Pt1 0.076 0.625 0.951
Pt2 0.375 0.326 0.451
Pt3 0.674 0.125 0.049
Pt4 0.875 0.924 0.549

Summary:
ρ in kg/m³: 10708
Total energy in eV/atom: -5.24
Formation energy in eV/atom: -0.131

***

8.
A plane-wave DFT calculation with PBE was carried out for an optimized crystal structure of BeGePt.

Unit cell a=4.051 b=4.051 c=4.051 alpha=60.00 beta=60.00 gamma=60.00
Element x y z (fractional)
Be1 0.000 0.000 0.000
Ge1 0.500 0.500 0.500
Pt1 0.750 0.750 0.750

Summary:
ρ in kg/m³: 9776
Total energy in eV/atom: -5.13
Formation energy in eV/atom: -0.336

***

9.
A plane-wave DFT calculation with PBE was carried out for an optimized crystal structure of BeGePt2.

Unit cell a=5.572 b=5.572 c=5.572 alpha=151.67 beta=130.25 gamma=58.24
Element x y z (fractional)
Be1 0.000 0.000 0.000
Ge1 0.500 0.500 0.000
Pt1 0.227 0.227 0.000
Pt2 0.773 0.773 0.000

Summary:
ρ in kg/m³: 12589
Total energy in eV/atom: -5.06
Formation energy in eV/atom: 0.043

***

10.
A plane-wave DFT calculation with PBE was carried out for an optimized crystal structure of BeGePt.

Unit cell a=8.477 b=3.943 c=5.175 alpha=90.00 beta=90.00 gamma=90.00
Element x y z (fractional)
Be1 0.182 0.250 0.064
Be2 0.318 0.750 0.564
Be3 0.682 0.250 0.436
Be4 0.818 0.750 0.936
Ge1 0.133 0.250 0.533
Ge2 0.367 0.750 0.033
Ge3 0.633 0.250 0.967
Ge4 0.867 0.750 0.467
Pt1 0.084 0.750 0.837
Pt2 0.416 0.250 0.337
Pt3 0.584 0.750 0.663
Pt4 0.916 0.250 0.163

Summary:
ρ in kg/m³: 10627
Total energy in eV/atom: -5.19
Formation energy in eV/atom: -0.398

***

11.
A plane-wave DFT calculation with PBE was carried out for an optimized crystal structure of Pu2Be4Ge3Pt.

Unit cell a=3.977 b=3.977 c=9.737 alpha=90.00 beta=90.00 gamma=90.00
Element x y z (fractional)
Pu1 0.000 0.500 0.246
Pu2 0.500 0.000 0.754
Be1 0.000 0.000 0.000
Be2 0.000 0.500 0.632
Be3 0.500 0.000 0.368
Be4 0.500 0.500 0.000
Ge1 0.000 0.500 0.868
Ge2 0.500 0.000 0.132
Ge3 0.500 0.500 0.500
Pt1 0.000 0.000 0.500

Summary:
ρ in kg/m³: 10101
Total energy in eV/atom: -6.73
Formation energy in eV/atom: -0.382

***

12.
A plane-wave DFT calculation with PBE was carried out for an optimized crystal structure of PuBeGePt.

Unit cell a=5.651 b=5.651 c=5.651 alpha=42.18 beta=42.18 gamma=42.18
Element x y z (fractional)
Pu1 0.000 0.000 0.000
Be1 0.468 0.468 0.468
Ge1 0.206 0.206 0.206
Pt1 0.793 0.793 0.793

Summary:
ρ in kg/m³: 11748
Total energy in eV/atom: -7.68
Formation energy in eV/atom: -0.501

***

What is the ρ in the third record?
6344 kg/m³

***

Which formula does entry 4 have?
BeGe3Pt